Arrangement P

The following is a DFT calculation (PBE) of an optimized crystal structure of Ca2SnBi3.

Values from the calculation:
V, Å³/cell: 418.4
Symmetry: Cmcm

a = 6.738 Å, b = 6.738 Å, c = 11.440 Å
α = 92.53°, β = 126.10°, γ = 85.69°
Fractional positions:
Ca1 0.750 0.000 0.250
Ca2 0.250 0.000 0.750
Ca3 0.750 0.500 0.750
Ca4 0.250 0.500 0.250
Sn1 0.751 0.501 0.250
Sn2 0.249 0.499 0.750
Bi1 0.759 0.740 0.500
Bi2 0.241 0.260 0.500
Bi3 0.740 0.259 0.000
Bi4 0.750 0.000 0.750
Bi5 0.260 0.741 0.000
Bi6 0.250 0.000 0.250



Arrangement Q

The following is a DFT calculation (PBE) of an optimized crystal structure of Ca2SnBi3.

Values from the calculation:
V, Å³/cell: 198.5
Symmetry: Immm

a = 3.709 Å, b = 6.538 Å, c = 9.007 Å
α = 111.28°, β = 101.88°, γ = 90.00°
Fractional positions:
Ca1 0.668 0.168 0.337
Ca2 0.332 0.832 0.663
Sn1 0.000 0.500 0.000
Bi1 0.339 0.339 0.679
Bi2 0.000 0.000 0.000
Bi3 0.661 0.661 0.321



Verdict on stability: arrangement P comes out on top.



Arrangement P

The following is a DFT calculation (PBE) of an optimized crystal structure of Ca2SnBi4.

Values from the calculation:
V, Å³/cell: 251.4
Symmetry: I4/mmm

a = 7.478 Å, b = 7.478 Å, c = 6.941 Å
α = 122.61°, β = 122.58°, γ = 90.00°
Fractional positions:
Ca1 0.750 0.250 0.500
Ca2 0.250 0.750 0.500
Sn1 0.000 0.000 0.000
Bi1 0.717 0.283 0.000
Bi2 0.283 0.717 0.000
Bi3 0.283 0.283 0.000
Bi4 0.717 0.717 0.000



Arrangement Q

The following is a DFT calculation (PBE) of an optimized crystal structure of Ca2SnBi4.

Values from the calculation:
V, Å³/cell: 229.3
Symmetry: C2/m

a = 6.873 Å, b = 6.873 Å, c = 6.877 Å
α = 119.91°, β = 119.91°, γ = 90.53°
Fractional positions:
Ca1 0.286 0.786 0.571
Ca2 0.786 0.286 0.571
Sn1 0.786 0.786 0.571
Bi1 0.786 0.786 0.072
Bi2 0.286 0.286 0.071
Bi3 0.786 0.286 0.071
Bi4 0.286 0.786 0.071



Verdict on stability: arrangement Q comes out on top.



Arrangement P

The following is a DFT calculation (PBE) of an optimized crystal structure of Ca2SnBi5.

Values from the calculation:
V, Å³/cell: 247.0
Symmetry: Cm

a = 6.908 Å, b = 8.643 Å, c = 6.907 Å
α = 128.71°, β = 120.00°, γ = 90.00°
Fractional positions:
Ca1 0.223 0.692 0.446
Ca2 0.721 0.252 0.443
Sn1 0.221 0.264 0.443
Bi1 0.691 0.193 0.883
Bi2 0.191 0.193 0.883
Bi3 0.753 0.752 0.006
Bi4 0.253 0.752 0.006
Bi5 0.723 0.681 0.446



Arrangement Q

The following is a DFT calculation (PBE) of an optimized crystal structure of Ca2SnBi5.

Values from the calculation:
V, Å³/cell: 490.1
Symmetry: Cmmm

a = 4.938 Å, b = 10.031 Å, c = 9.895 Å
α = 90.00°, β = 90.00°, γ = 90.00°
Fractional positions:
Ca1 0.500 0.500 0.249
Ca2 0.500 0.500 0.751
Ca3 0.500 0.000 0.749
Ca4 0.500 0.000 0.251
Sn1 0.000 0.500 0.500
Sn2 0.000 0.000 0.000
Bi1 0.000 0.000 0.500
Bi2 0.000 0.500 0.000
Bi3 0.000 0.750 0.250
Bi4 0.000 0.250 0.750
Bi5 0.000 0.750 0.750
Bi6 0.000 0.250 0.250
Bi7 0.500 0.745 0.500
Bi8 0.500 0.255 0.500
Bi9 0.500 0.755 0.000
Bi10 0.500 0.245 0.000



Verdict on stability: arrangement Q comes out on top.



Arrangement P

The following is a DFT calculation (PBE) of an optimized crystal structure of CaSnBi.

Values from the calculation:
V, Å³/cell: 91.8
Symmetry: P3m1

a = 3.450 Å, b = 5.542 Å, c = 5.542 Å
α = 120.00°, β = 90.00°, γ = 90.00°
Fractional positions:
Ca1 0.667 0.667 0.333
Bi1 0.169 0.000 0.000
Sn1 0.164 0.333 0.667



Arrangement Q

The following is a DFT calculation (PBE) of an optimized crystal structure of CaSnBi.

Values from the calculation:
V, Å³/cell: 419.4
Symmetry: Fddd

a = 7.461 Å, b = 7.461 Å, c = 9.085 Å
α = 105.76°, β = 105.76°, γ = 109.78°
Fractional positions:
Ca1 0.305 0.305 0.610
Ca2 0.695 0.695 0.390
Ca3 0.945 0.445 0.890
Ca4 0.555 0.055 0.110
Sn1 0.125 0.875 0.750
Sn2 0.125 0.375 0.250
Sn3 0.625 0.875 0.750
Sn4 0.125 0.875 0.250
Bi1 0.926 0.426 0.500
Bi2 0.676 0.676 0.000
Bi3 0.574 0.074 0.500
Bi4 0.324 0.324 0.000



Verdict on stability: arrangement P comes out on top.



Arrangement P

The following is a DFT calculation (PBE) of an optimized crystal structure of CaSnBi.

Values from the calculation:
V, Å³/cell: 177.6
Symmetry: Cmcm

a = 4.509 Å, b = 4.667 Å, c = 8.756 Å
α = 105.46°, β = 90.00°, γ = 90.00°
Fractional positions:
Ca1 0.250 0.095 0.191
Ca2 0.750 0.905 0.809
Sn1 0.250 0.743 0.485
Sn2 0.750 0.257 0.515
Bi1 0.250 0.427 0.854
Bi2 0.750 0.573 0.146



Arrangement Q

The following is a DFT calculation (PBE) of an optimized crystal structure of CaSnBi.

Values from the calculation:
V, Å³/cell: 90.9
Symmetry: I4mm

a = 4.090 Å, b = 4.090 Å, c = 6.158 Å
α = 109.39°, β = 109.39°, γ = 90.00°
Fractional positions:
Ca1 0.950 0.950 0.899
Bi1 0.630 0.630 0.260
Sn1 0.270 0.270 0.541



Verdict on stability: arrangement P comes out on top.



Arrangement P

The following is a DFT calculation (PBE) of an optimized crystal structure of Ca3SnBi.

Values from the calculation:
V, Å³/cell: 205.6
Symmetry: Pm-3m

a = 5.902 Å, b = 5.902 Å, c = 5.902 Å
α = 90.00°, β = 90.00°, γ = 90.00°
Fractional positions:
Ca1 0.000 0.500 0.000
Ca2 0.000 0.000 0.500
Ca3 0.500 0.000 0.000
Bi1 0.000 0.000 0.000
Sn1 0.500 0.500 0.500



Arrangement Q

The following is a DFT calculation (PBE) of an optimized crystal structure of Ca3SnBi.

Values from the calculation:
V, Å³/cell: 340.3
Symmetry: C2/m

a = 4.436 Å, b = 8.820 Å, c = 9.020 Å
α = 94.67°, β = 90.00°, γ = 104.57°
Fractional positions:
Ca1 0.069 0.170 0.391
Ca2 0.421 0.874 0.629
Ca3 0.624 0.280 0.793
Ca4 0.975 0.984 0.031
Ca5 0.261 0.555 0.027
Ca6 0.783 0.599 0.395
Sn1 0.221 0.475 0.641
Sn2 0.823 0.679 0.781
Bi1 0.413 0.860 0.277
Bi2 0.631 0.294 0.144



Arrangement R

The following is a DFT calculation (PBE) of an optimized crystal structure of Ca3SnBi.

Values from the calculation:
V, Å³/cell: 199.3
Symmetry: Pm-3m

a = 5.841 Å, b = 5.841 Å, c = 5.841 Å
α = 90.00°, β = 90.00°, γ = 90.00°
Fractional positions:
Ca1 0.000 0.500 0.000
Ca2 0.000 0.000 0.500
Ca3 0.500 0.000 0.000
Bi1 0.500 0.500 0.500
Sn1 0.000 0.000 0.000



Verdict on stability: arrangement Q comes out on top.



Arrangement P

The following is a DFT calculation (PBE) of an optimized crystal structure of Ca4SnBi2.

Values from the calculation:
V, Å³/cell: 271.1
Symmetry: I4/mmm

a = 5.702 Å, b = 5.702 Å, c = 9.260 Å
α = 72.07°, β = 72.07°, γ = 90.00°
Fractional positions:
Ca1 0.183 0.183 0.633
Ca2 0.817 0.817 0.367
Ca3 0.000 0.500 0.000
Ca4 0.500 0.000 0.000
Bi1 0.373 0.373 0.254
Bi2 0.627 0.627 0.746
Sn1 0.000 0.000 0.000



Arrangement Q

The following is a DFT calculation (PBE) of an optimized crystal structure of Ca4SnBi2.

Values from the calculation:
V, Å³/cell: 236.0
Symmetry: C2/m

a = 4.961 Å, b = 9.123 Å, c = 8.256 Å
α = 135.63°, β = 107.49°, γ = 90.00°
Fractional positions:
Ca1 0.918 0.221 0.837
Ca2 0.082 0.779 0.163
Ca3 0.673 0.287 0.347
Ca4 0.327 0.713 0.653
Sn1 0.000 0.000 0.000
Bi1 0.666 0.656 0.332
Bi2 0.334 0.344 0.668



Arrangement R

The following is a DFT calculation (PBE) of an optimized crystal structure of Ca4SnBi2.

Values from the calculation:
V, Å³/cell: 451.8
Symmetry: I-42d

a = 8.373 Å, b = 8.373 Å, c = 8.373 Å
α = 69.97°, β = 70.81°, γ = 109.19°
Fractional positions:
Ca1 0.750 0.024 0.375
Ca2 0.750 0.524 0.375
Ca3 0.101 0.226 0.524
Ca4 0.399 0.375 0.875
Ca5 0.250 0.875 0.226
Ca6 0.899 0.375 0.875
Ca7 0.601 0.726 0.024
Ca8 0.250 0.875 0.726
Sn1 0.500 0.250 0.250
Sn2 0.000 0.000 0.000
Bi1 0.120 0.495 0.125
Bi2 0.620 0.125 0.755
Bi3 0.880 0.755 0.625
Bi4 0.380 0.625 0.495



Verdict on stability: arrangement R comes out on top.



Arrangement P

The following is a DFT calculation (PBE) of an optimized crystal structure of Sr3CaBi.

Values from the calculation:
V, Å³/cell: 270.8
Symmetry: Pm-3m

a = 6.470 Å, b = 6.470 Å, c = 6.470 Å
α = 90.00°, β = 90.00°, γ = 90.00°
Site moments in Bohr magnetons follow the coordinates.
Fractional positions:
Sr1 0.000 0.500 0.000  0.03
Sr2 0.000 0.000 0.500  0.02
Sr3 0.500 0.000 0.000  0.06
Ca1 0.500 0.500 0.500  0.05
Bi1 0.000 0.000 0.000  0.04



Arrangement Q

The following is a DFT calculation (PBE) of an optimized crystal structure of Sr3CaBi.

Values from the calculation:
V, Å³/cell: 258.0
Symmetry: Pm-3m

a = 6.366 Å, b = 6.366 Å, c = 6.366 Å
α = 90.00°, β = 90.00°, γ = 90.00°
Site moments in Bohr magnetons follow the coordinates.
Fractional positions:
Sr1 0.000 0.500 0.000  0.17
Sr2 0.000 0.000 0.500  0.17
Sr3 0.500 0.000 0.000  0.14
Ca1 0.000 0.000 0.000  0.35
Bi1 0.500 0.500 0.500  -0.13



Verdict on stability: arrangement P comes out on top.



Arrangement P

The following is a DFT calculation (PBE) of an optimized crystal structure of Sr2Ca3Bi4.

Values from the calculation:
V, Å³/cell: 623.8
Symmetry: P2_1/c

a = 8.538 Å, b = 9.077 Å, c = 8.701 Å
α = 90.00°, β = 90.00°, γ = 112.33°
Fractional positions:
Sr1 0.549 0.181 0.314
Sr2 0.951 0.819 0.814
Sr3 0.451 0.819 0.686
Sr4 0.049 0.181 0.186
Ca1 0.000 0.500 0.500
Ca2 0.500 0.500 0.000
Ca3 0.726 0.229 0.849
Ca4 0.774 0.771 0.349
Ca5 0.274 0.771 0.151
Ca6 0.226 0.229 0.651
Bi1 0.827 0.097 0.543
Bi2 0.673 0.903 0.043
Bi3 0.173 0.903 0.457
Bi4 0.327 0.097 0.957
Bi5 0.870 0.496 0.131
Bi6 0.630 0.504 0.631
Bi7 0.130 0.504 0.869
Bi8 0.370 0.496 0.369



Arrangement Q

The following is a DFT calculation (PBE) of an optimized crystal structure of Sr2Ca3Bi4.

Values from the calculation:
V, Å³/cell: 637.1
Symmetry: Cmce

a = 7.368 Å, b = 9.511 Å, c = 9.811 Å
α = 90.00°, β = 112.05°, γ = 90.00°
Fractional positions:
Sr1 0.114 0.595 0.227
Sr2 0.886 0.405 0.773
Sr3 0.386 0.095 0.773
Sr4 0.614 0.905 0.227
Ca1 0.000 0.000 0.000
Ca2 0.500 0.500 0.000
Ca3 0.545 0.750 0.590
Ca4 0.955 0.250 0.410
Ca5 0.455 0.250 0.410
Ca6 0.045 0.750 0.590
Bi1 0.717 0.750 0.934
Bi2 0.783 0.250 0.066
Bi3 0.283 0.250 0.066
Bi4 0.217 0.750 0.934
Bi5 0.193 0.947 0.385
Bi6 0.807 0.053 0.615
Bi7 0.307 0.447 0.615
Bi8 0.693 0.553 0.385



Verdict on stability: arrangement P comes out on top.



Arrangement P

The following is a DFT calculation (PBE) of an optimized crystal structure of SrCaTlBi.

Values from the calculation:
V, Å³/cell: 129.9
Symmetry: I-4m2

a = 5.211 Å, b = 5.211 Å, c = 6.039 Å
α = 115.56°, β = 115.56°, γ = 90.00°
Fractional positions:
Sr1 0.000 0.000 0.000
Ca1 0.500 0.500 0.000
Tl1 0.750 0.250 0.500
Bi1 0.250 0.750 0.500



Arrangement Q

The following is a DFT calculation (PBE) of an optimized crystal structure of SrCaTlBi.

Values from the calculation:
V, Å³/cell: 132.7
Symmetry: F-43m

a = 5.726 Å, b = 5.726 Å, c = 5.726 Å
α = 60.00°, β = 60.00°, γ = 60.00°
Fractional positions:
Sr1 0.750 0.750 0.750
Tl1 0.000 0.000 0.000
Ca1 0.250 0.250 0.250
Bi1 0.500 0.500 0.500



Verdict on stability: arrangement P comes out on top.



Arrangement P

The following is a DFT calculation (PBE) of an optimized crystal structure of CaTaBi2.

Values from the calculation:
V, Å³/cell: 102.8
Symmetry: Fm-3m

a = 5.257 Å, b = 5.257 Å, c = 5.257 Å
α = 60.00°, β = 60.00°, γ = 60.00°
Site moments in Bohr magnetons follow the coordinates.
Fractional positions:
Ca1 0.000 0.000 0.000  0.04
Bi1 0.250 0.250 0.250  -0.07
Bi2 0.750 0.750 0.750  -0.07
Ta1 0.500 0.500 0.500  1.02



Arrangement Q

The following is a DFT calculation (PBE) of an optimized crystal structure of CaTaBi2.

Values from the calculation:
V, Å³/cell: 235.1
Symmetry: I-42d

a = 8.222 Å, b = 8.222 Å, c = 6.775 Å
α = 52.64°, β = 52.64°, γ = 90.00°
Fractional positions:
Ca1 0.500 0.500 0.000
Ca2 0.250 0.750 0.500
Bi1 0.658 0.125 0.250
Bi2 0.092 0.625 0.250
Bi3 0.375 0.342 0.750
Bi4 0.875 0.908 0.750
Ta1 0.000 0.000 0.000
Ta2 0.750 0.250 0.500



Verdict on stability: arrangement P comes out on top.